# Ce3Fe2Ni7 PBE-GGA relaxed
data_Ce3Fe2Ni7
_chemical_formula_sum 'Ce3 Fe2 Ni7'
_cell_length_a 4.9598
_cell_length_b 4.9598
_cell_length_c 8.7771
_cell_angle_alpha 73.59
_cell_angle_beta 73.59
_cell_angle_gamma 60.00
_space_group_name_H-M_alt 'P 1'
_space_group_IT_number 1
_space_group_name_Hall 'P 1'
loop_
_atom_site_label
_atom_site_fract_x
_atom_site_fract_y
_atom_site_fract_z
Ce1 0.0000 0.0000 0.0000
Ce2 0.8619 0.8619 0.4144
Ce3 0.1381 0.1381 0.5856
Fe1 0.6674 0.6674 0.9979
Fe2 0.3326 0.3326 0.0021
Ni1 0.5000 0.5000 0.5000
Ni2 0.9175 0.4183 0.2458
Ni3 0.4183 0.9175 0.2458
Ni4 0.4183 0.4183 0.2458
Ni5 0.0825 0.5817 0.7542
Ni6 0.5817 0.5817 0.7542
Ni7 0.5817 0.0825 0.7542
# - DOS(E_F): 16.12 states/eV/cell
# - Space group: R-3m (166)
# - Formation energy from the elements: -0.303 eV/atom
# - Calculated total energy: -6.570 eV/atom
# - Size of the total moment: 3.5 μB/cell

# Te2MoRu PBE-GGA relaxed
data_Te2MoRu
_chemical_formula_sum 'Te4 Mo2 Ru2'
_cell_length_a 6.0213
_cell_length_b 6.0213
_cell_length_c 7.2980
_cell_angle_alpha 65.64
_cell_angle_beta 65.64
_cell_angle_gamma 90.00
_space_group_name_H-M_alt 'P 1'
_space_group_IT_number 1
_space_group_name_Hall 'P 1'
loop_
_atom_site_label
_atom_site_fract_x
_atom_site_fract_y
_atom_site_fract_z
Ru1 0.0000 0.0000 0.0000
Ru2 0.7500 0.2500 0.5000
Mo1 0.5000 0.5000 0.0000
Mo2 0.2500 0.7500 0.5000
Te1 0.6354 0.1250 0.2500
Te2 0.1146 0.6250 0.2500
Te3 0.3750 0.3646 0.7500
Te4 0.8750 0.8854 0.7500
# - Formation energy from raw total energies: 0.568 eV/atom
# - DOS(E_F): 9.06 states/eV/cell
# - Energy above the most stable polymorph in this dataset: 2.12 eV per formula unit
# - Space group: I-42d (122)
# - Calculated total energy: -6.029 eV/atom
# - Size of the total moment: 1.4 μB/cell